1.
Entry from Alexandria via LeMat-Bulk: a relaxed structure of Ac6SnTe3As2 (PBE).

abc: 10.549 10.549 9.444
angles: 103.81 103.81 25.64
Positions (direct):
Ac 0.007 0.007 0.246
Ac 0.327 0.327 0.431
Ac 0.335 0.335 0.899
Ac 0.665 0.665 0.101
Ac 0.673 0.673 0.569
Ac 0.993 0.993 0.754
Sn 0.500 0.500 0.000
Te 0.166 0.166 0.832
Te 0.500 0.500 0.500
Te 0.834 0.834 0.168
As 0.169 0.169 0.337
As 0.831 0.831 0.663

Output
DOS at the Fermi energy: 0.371 states/eV/atom
Formation energy without anion corrections: -1.417 eV per atom

2.
Entry from Alexandria via LeMat-Bulk: a relaxed structure of Ce3Pt2Rh (PBE).

abc: 3.345 5.151 16.246
angles: 90.00 90.00 90.00
Positions (direct):
Ce 0.000 0.000 0.000
Ce 0.000 0.500 0.170
Ce 0.000 0.500 0.830
Ce 0.500 0.000 0.330
Ce 0.500 0.000 0.670
Ce 0.500 0.500 0.500
Pt 0.000 0.500 0.342
Pt 0.000 0.500 0.658
Pt 0.500 0.000 0.158
Pt 0.500 0.000 0.842
Rh 0.000 0.500 0.000
Rh 0.500 0.000 0.500

Output
DOS at the Fermi energy: 2.467 states/eV/atom
Energy relative to the elements: -0.72 eV per atom

3.
Entry from Alexandria via LeMat-Bulk: a relaxed structure of LaGaSi2Au6 (PBE).

abc: 7.965 7.965 7.965
angles: 49.14 49.14 49.14
Positions (direct):
La 0.000 0.000 0.000
Ga 0.500 0.500 0.500
Si 0.297 0.297 0.297
Si 0.703 0.703 0.703
Au 0.123 0.610 0.475
Au 0.390 0.525 0.877
Au 0.475 0.123 0.610
Au 0.525 0.877 0.390
Au 0.610 0.475 0.123
Au 0.877 0.390 0.525

Output
DOS at the Fermi energy: 0.491 states/eV/atom
Formation energy without anion corrections: -0.095 eV per atom

4.
Entry from Alexandria via LeMat-Bulk: a relaxed structure of Pm2InSnPt6 (PBE).

abc: 5.581 6.671 6.728
angles: 70.68 65.68 65.40
Positions (direct):
Pm 0.004 0.247 0.245
Pm 0.996 0.753 0.755
In 0.500 0.500 0.000
Sn 0.500 0.000 0.500
Pt 0.001 0.188 0.811
Pt 0.306 0.444 0.441
Pt 0.499 0.812 0.190
Pt 0.501 0.188 0.810
Pt 0.694 0.556 0.559
Pt 0.999 0.812 0.189

Output
DOS at the Fermi energy: 0.596 states/eV/atom
Energy relative to the elements: -0.70 eV per atom

5.
Entry from Alexandria via LeMat-Bulk: a relaxed structure of PmInPt4 (PBE).

abc: 5.441 5.441 5.441
angles: 60.00 60.00 60.00
Positions (direct):
Pm 0.000 0.000 0.000
In 0.750 0.750 0.750
Pt 0.376 0.376 0.376
Pt 0.376 0.376 0.873
Pt 0.376 0.873 0.376
Pt 0.873 0.376 0.376

Output
DOS at the Fermi energy: 0.400 states/eV/atom
Energy relative to the elements: -0.82 eV per atom

6.
Entry from Alexandria via LeMat-Bulk: a relaxed structure of Cs7Au2Cl2 (PBE).

abc: 9.772 9.772 9.185
angles: 94.58 94.58 114.76
Positions (direct):
Cs 0.000 0.000 0.000
Cs 0.041 0.413 0.718
Cs 0.413 0.041 0.718
Cs 0.422 0.422 0.244
Cs 0.578 0.578 0.756
Cs 0.587 0.959 0.282
Cs 0.959 0.587 0.282
Au 0.329 0.671 0.500
Au 0.671 0.329 0.500
Cl 0.287 0.287 0.879
Cl 0.713 0.713 0.121

Output
DOS at the Fermi energy: 0.601 states/eV/atom
Formation energy without anion corrections: -0.780 eV per atom

7.
Entry from Alexandria via LeMat-Bulk: a relaxed structure of SrPAu (PBE).

abc: 4.436 4.294 7.611
angles: 90.00 90.00 90.00
Positions (direct):
Sr 0.250 0.000 0.236
Sr 0.750 0.000 0.764
P 0.250 0.500 0.937
P 0.750 0.500 0.063
Au 0.250 0.500 0.610
Au 0.750 0.500 0.390

Output
DOS at the Fermi energy: 0.244 states/eV/atom
Energy relative to the elements: -0.76 eV per atom

8.
Entry from Alexandria via LeMat-Bulk: a relaxed structure of PuMg16Al12 (PBE).

abc: 9.203 9.203 9.203
angles: 110.01 110.01 110.01
Positions (direct):
Pu 0.000 0.000 0.000
Mg 0.057 0.057 0.656
Mg 0.057 0.656 0.057
Mg 0.096 0.765 0.765
Mg 0.372 0.684 0.980
Mg 0.372 0.980 0.684
Mg 0.374 0.374 0.374
Mg 0.375 0.375 0.717
Mg 0.375 0.717 0.375
Mg 0.656 0.057 0.057
Mg 0.684 0.372 0.980
Mg 0.684 0.980 0.372
Mg 0.717 0.375 0.375
Mg 0.765 0.096 0.765
Mg 0.765 0.765 0.096
Mg 0.980 0.372 0.684
Mg 0.980 0.684 0.372
Al 0.008 0.186 0.370
Al 0.008 0.370 0.186
Al 0.186 0.008 0.370
Al 0.186 0.370 0.008
Al 0.201 0.563 0.563
Al 0.370 0.008 0.186
Al 0.370 0.186 0.008
Al 0.563 0.201 0.563
Al 0.563 0.563 0.201
Al 0.563 0.746 0.746
Al 0.746 0.563 0.746
Al 0.746 0.746 0.563

Output
DOS at the Fermi energy: 0.607 states/eV/atom
Energy relative to the elements: -0.05 eV per atom

9.
Entry from Alexandria via LeMat-Bulk: a relaxed structure of CaPmGe (PBE).

abc: 4.854 4.854 4.264
angles: 90.00 90.00 120.00
Positions (direct):
Ca 0.000 0.000 0.000
Pm 0.667 0.333 0.519
Ge 0.333 0.667 0.248

Output
DOS at the Fermi energy: 0.909 states/eV/atom
Energy relative to the elements: -0.34 eV per atom

10.
Entry from Alexandria via LeMat-Bulk: a relaxed structure of CsKNaHg2 (PBE).

abc: 6.082 6.082 6.626
angles: 90.00 90.00 90.00
Positions (direct):
Cs 0.000 0.000 0.000
K 0.500 0.500 0.000
Na 0.000 0.000 0.500
Hg 0.000 0.500 0.500
Hg 0.500 0.000 0.500

Output
DOS at the Fermi energy: 0.609 states/eV/atom
Energy relative to the elements: 0.02 eV per atom

11.
Entry from Alexandria via LeMat-Bulk: a relaxed structure of LiCu2I2Br (PBE).

abc: 7.349 7.349 7.068
angles: 90.00 90.00 60.42
Positions (direct):
Li 0.145 0.855 0.500
Li 0.855 0.145 0.000
Cu 0.165 0.504 0.970
Cu 0.496 0.835 0.970
Cu 0.504 0.165 0.470
Cu 0.835 0.496 0.470
I 0.169 0.494 0.340
I 0.494 0.169 0.840
I 0.506 0.831 0.340
I 0.831 0.506 0.840
Br 0.173 0.827 0.860
Br 0.827 0.173 0.360

Output
DOS at the Fermi energy: 0.000 states/eV/atom
Formation energy without anion corrections: -0.561 eV per atom

12.
Entry from Alexandria via LeMat-Bulk: a relaxed structure of LaRuCl3 (PBE).

abc: 5.594 5.594 5.594
angles: 90.00 90.00 90.00
Positions (direct):
La 0.000 0.000 0.000
Ru 0.500 0.500 0.500
Cl 0.000 0.000 0.500
Cl 0.000 0.500 0.000
Cl 0.500 0.000 0.000

Output
DOS at the Fermi energy: 2.511 states/eV/atom
Formation energy without anion corrections: -0.522 eV per atom